No. 1
{"formula": "PaCdAg", "functional": "GGA-PBE", "state": "relaxed", "cell": [[-2.5437, -2.2157, 3.3796], [-4.5105, -1.3008, -0.8744], [-1.1009, -4.6211, -0.4848]], "species": ["Ag", "Cd", "Pa"], "fractional_positions": [[0.0000, 0.0000, 0.0000], [0.2500, 0.2500, 0.2500], [0.7500, 0.7500, 0.7500]], "formation_enthalpy_0k_mev_per_atom": 377.8}



No. 2
{"formula": "KNbSeO", "functional": "GGA-PBE", "state": "relaxed", "cell": [[4.2619, 0.0000, 0.0000], [0.0000, 7.6040, 0.0000], [0.0000, 0.0000, 6.3896]], "species": ["K", "K", "Nb", "Nb", "O", "O", "Se", "Se"], "fractional_positions": [[0.0000, 0.3248, 0.1250], [0.0000, 0.6752, 0.6250], [0.5000, 0.9198, 0.0196], [0.5000, 0.0802, 0.5196], [0.5000, 0.1239, 0.2128], [0.5000, 0.8761, 0.7128], [0.0000, 0.7581, 0.1336], [0.0000, 0.2419, 0.6336]], "de_polymorph_ev_per_atom": 0.070}